ErScUO6: relaxed, GGA-PBE. Values from VASP.

Structure (Quantum ESPRESSO input):
```
&SYSTEM
  ibrav = 0, nat = 18, ntyp = 4
/
ATOMIC_SPECIES
Er 167.26 Er.upf
Sc 44.96 Sc.upf
U 238.03 U.upf
O 16.00 O.upf
ATOMIC_POSITIONS angstrom
Er 0.000 0.000 0.000
Er 1.639 3.012 3.238
Sc 2.853 -0.733 2.672
Sc 1.562 2.506 7.182
U -0.077 -0.506 3.944
U 4.492 2.279 5.909
O 1.168 -1.961 3.096
O -1.658 -1.807 4.384
O 5.709 0.760 5.134
O 6.074 3.580 5.469
O 1.568 0.725 3.537
O 0.620 -1.188 5.798
O 5.281 1.589 7.723
O -1.294 1.013 4.719
O 3.796 2.961 4.055
O -0.866 0.184 2.130
O 2.847 1.048 6.316
O 3.247 3.734 6.758
CELL_PARAMETERS angstrom
-3.827 -1.784 3.597
4.964 -2.466 -0.219
3.278 6.023 6.475
```

Crystal system   trigonal
V   14.0 Å³/atom
Formation energy from raw total energies   -3.3633 eV/atom
Total moment   0.00 μB per cell